First-principles (PBE with a Hubbard U) data for LaFePtO2 after structural relaxation, as listed in the Alexandria database.

Output
Calculated density (Mg/m³): 7.22
Uncorrected energy (eV per atom): -5.0895
DOS at the Fermi energy (states/eV per atom): 0.5753

```
data_LaFePtO2
_cell_length_a 4.2905
_cell_length_b 4.2905
_cell_length_c 5.2721
_cell_angle_alpha 90.00
_cell_angle_beta 90.00
_cell_angle_gamma 90.00
_space_group_name_H-M_alt 'P 4/m m m'
_space_group_IT_number 123
_space_group_name_Hall '-P 4 2'
loop_
_atom_site_label
_atom_site_fract_x
_atom_site_fract_y
_atom_site_fract_z
La1 0.0000 0.0000 0.0000
Fe1 0.5000 0.5000 0.0000
Pt1 0.0000 0.0000 0.5000
O1 0.0000 0.5000 0.5000
```